(1)
Dy4Si3Pd | PBE | optimized geometry

For the total energy, the calculation gives -5.791 eV/atom.

Cell lengths 5.7589, 3.9111, 7.8360 Å; angles 90.00, 90.94, 90.00 degrees
Closest atoms and distances in Å follow each position.
Fractional coordinates of all 8 atoms:
Dy1 0.0000 0.0000 0.0000  2 Pd 2.91, 5 Si 3.03-3.18
Dy2 0.2392 0.5000 0.3635  6 Si 2.94-3.13, 1 Pd 3.19
Dy3 0.5034 0.5000 0.8632  5 Si 2.95-3.17, 2 Pd 3.04-3.11
Dy4 0.7428 0.0000 0.5170  2 Pd 2.91, 5 Si 2.98-3.19
Si1 0.2573 0.0000 0.6437  2 Pd 2.56
Si2 0.4958 0.0000 0.1496  2 Si 2.51
Si3 0.7479 0.5000 0.2280  2 Si 2.51
Pd1 0.9936 0.5000 0.7250  2 Si 2.56

***

(2)
Cu7Ag3 | PBE | optimized geometry

For the energy above the most stable polymorph in this dataset, the calculation gives 0.022 eV per atom. The formation energy is 0.669 eV/f.u.

Cell lengths 3.8360, 9.5228, 9.5228 Å; angles 23.24, 90.00, 90.00 degrees
Closest atoms and distances in Å follow each position.
Fractional coordinates of all 10 atoms:
Cu1 0.0000 0.0000 0.0000  10 Cu 2.53-2.71, 2 Ag 2.68
Cu2 0.0000 0.1766 0.1766  8 Cu 2.53-2.71, 4 Ag 2.77
Cu3 0.0000 0.4012 0.4012  4 Cu 2.66, 8 Ag 2.71-2.91
Cu4 0.0000 0.5882 0.5882  12 Cu 2.53-2.71
Cu5 0.5000 0.0881 0.0881  12 Cu 2.53-2.71
Cu6 0.5000 0.5000 0.5000  10 Cu 2.53-2.71, 2 Ag 2.68
Cu7 0.5000 0.6768 0.6768  8 Cu 2.53-2.71, 4 Ag 2.77
Ag1 0.0000 0.7838 0.7838  6 Ag 2.71-2.89, 6 Cu 2.77-2.91
Ag2 0.5000 0.2837 0.2837  6 Ag 2.71-2.89, 6 Cu 2.77-2.91
Ag3 0.5000 0.8998 0.8998  8 Cu 2.68-2.71, 4 Ag 2.89

***

(3)
YTlCdCu | PBE | optimized geometry

For the energy above the most stable polymorph in this dataset, the calculation gives 0.000 eV per atom.

Cell lengths 7.0245, 7.0245, 7.0245 Å; angles 90.00, 90.00, 90.00 degrees
Closest atoms and distances in Å follow each position.
Fractional coordinates of all 16 atoms:
Y1 0.0000 0.0000 0.0000  4 Cd 3.04, 4 Cu 3.04
Y2 0.0000 0.5000 0.5000  4 Cd 3.04, 4 Cu 3.04
Y3 0.5000 0.0000 0.5000  4 Cd 3.04, 4 Cu 3.04
Y4 0.5000 0.5000 0.0000  4 Cd 3.04, 4 Cu 3.04
Tl1 0.0000 0.0000 0.5000  4 Cd 3.04, 4 Cu 3.04
Tl2 0.0000 0.5000 0.0000  4 Cd 3.04, 4 Cu 3.04
Tl3 0.5000 0.0000 0.0000  4 Cd 3.04, 4 Cu 3.04
Tl4 0.5000 0.5000 0.5000  4 Cd 3.04, 4 Cu 3.04
Cd1 0.2500 0.2500 0.2500  4 Tl 3.04, 4 Y 3.04
Cd2 0.2500 0.7500 0.7500  4 Tl 3.04, 4 Y 3.04
Cd3 0.7500 0.2500 0.7500  4 Tl 3.04, 4 Y 3.04
Cd4 0.7500 0.7500 0.2500  4 Tl 3.04, 4 Y 3.04
Cu1 0.2500 0.2500 0.7500  4 Tl 3.04, 4 Y 3.04
Cu2 0.2500 0.7500 0.2500  4 Tl 3.04, 4 Y 3.04
Cu3 0.7500 0.2500 0.2500  4 Tl 3.04, 4 Y 3.04
Cu4 0.7500 0.7500 0.7500  4 Tl 3.04, 4 Y 3.04

***

(4)
ErTmCo2 | PBE | optimized geometry

The formation energy is -0.988 eV/f.u.

Cell lengths 3.8677, 7.2747, 5.4173 Å; angles 90.00, 90.00, 90.00 degrees
Closest atoms and distances in Å follow each position.
Fractional coordinates of all 8 atoms:
Er1 0.0000 0.0727 0.0000  7 Co 2.82-2.99
Er2 0.5000 0.9273 0.5000  7 Co 2.82-2.99
Tm1 0.0000 0.5717 0.2662  7 Co 2.80-3.00
Tm2 0.5000 0.4283 0.7662  7 Co 2.80-3.00
Co1 0.0000 0.2230 0.4856  2 Co 2.26
Co2 0.0000 0.7210 0.7821  2 Co 2.26
Co3 0.5000 0.2790 0.2821  2 Co 2.26
Co4 0.5000 0.7770 0.9856  2 Co 2.26

***

(5)
NaPr2O4 | PBE | optimized geometry

For the total energy, the calculation gives -6.843 eV/atom.

Cell lengths 7.1612, 7.1612, 7.1612 Å; angles 60.00, 60.00, 60.00 degrees
Closest atoms and distances in Å follow each position.
Fractional coordinates of all 14 atoms:
Na1 0.1250 0.1250 0.1250  4 O 2.46
Na2 0.8750 0.8750 0.8750  4 O 2.46
Pr1 0.0000 0.5000 0.5000  6 O 2.39
Pr2 0.5000 0.0000 0.5000  6 O 2.39
Pr3 0.5000 0.5000 0.0000  6 O 2.39
Pr4 0.5000 0.5000 0.5000  6 O 2.39
O1 0.2650 0.2650 0.2650  3 Pr 2.39, 1 Na 2.46
O2 0.2650 0.2650 0.7051  3 Pr 2.39, 1 Na 2.46
O3 0.2650 0.7051 0.2650  3 Pr 2.39, 1 Na 2.46
O4 0.2949 0.7350 0.7350  3 Pr 2.39, 1 Na 2.46
O5 0.7051 0.2650 0.2650  3 Pr 2.39, 1 Na 2.46
O6 0.7350 0.2949 0.7350  3 Pr 2.39, 1 Na 2.46
O7 0.7350 0.7350 0.2949  3 Pr 2.39, 1 Na 2.46
O8 0.7350 0.7350 0.7350  3 Pr 2.39, 1 Na 2.46

***

(6)
NiHgGe2 | PBE | optimized geometry

For the total energy, the calculation gives -3.380 eV/atom.

Cell lengths 6.5684, 6.5684, 6.5684 Å; angles 90.00, 90.00, 90.00 degrees
Closest atoms and distances in Å follow each position.
Fractional coordinates of all 16 atoms:
Ni1 0.0000 0.0000 0.0000  4 Hg 2.84, 4 Ge 2.84
Ni2 0.0000 0.5000 0.5000  4 Ge 2.84, 4 Hg 2.84
Ni3 0.5000 0.0000 0.5000  4 Ge 2.84, 4 Hg 2.84
Ni4 0.5000 0.5000 0.0000  4 Ge 2.84, 4 Hg 2.84
Hg1 0.2500 0.2500 0.7500  4 Ge 2.84, 4 Ni 2.84
Hg2 0.2500 0.7500 0.2500  4 Ge 2.84, 4 Ni 2.84
Hg3 0.7500 0.2500 0.2500  4 Ge 2.84, 4 Ni 2.84
Hg4 0.7500 0.7500 0.7500  4 Ge 2.84, 4 Ni 2.84
Ge1 0.0000 0.0000 0.5000  4 Ge 2.84, 4 Hg 2.84
Ge2 0.0000 0.5000 0.0000  4 Ge 2.84, 4 Hg 2.84
Ge3 0.2500 0.2500 0.2500  4 Ge 2.84, 4 Ni 2.84
Ge4 0.2500 0.7500 0.7500  4 Ge 2.84, 4 Ni 2.84
Ge5 0.5000 0.0000 0.0000  4 Ge 2.84, 4 Hg 2.84
Ge6 0.5000 0.5000 0.5000  4 Ge 2.84, 4 Hg 2.84
Ge7 0.7500 0.2500 0.7500  4 Ge 2.84, 4 Ni 2.84
Ge8 0.7500 0.7500 0.2500  4 Ge 2.84, 4 Ni 2.84